No. 1
Compound: Tl2ZnRe
Source: the Alexandria database
Functional: GGA-PBE
Structure: optimized geometry

The structure belongs to space group P4/mmm (No. 123); the cell edges are 2.998, 2.998 and 9.277 Å and the angles 90.00°, 90.00° and 90.00°. The distinct sites, in fractional coordinates, are Tl at (0.000, 0.000, 0.238), Zn at (0.500, 0.500, 0.500) and Re at (0.500, 0.500, 0.000).

The calculation puts the total energy at -3.705 eV per atom. The value obtained for the relative energy among the computed polymorphs is 260.2 meV/atom. The value obtained for the calculated formation energy is 0.909 eV per atom.

=====

No. 2
Compound: Tl2ZnRe
Source: the Alexandria database
Functional: GGA-PBE
Structure: optimized geometry

The structure belongs to space group Fm-3m (No. 225); the cell edges are 6.844, 6.844 and 6.844 Å and the angles 90.00°, 90.00° and 90.00°. The distinct sites, in fractional coordinates, are Tl at (0.250, 0.250, 0.250), Zn at (0.000, 0.000, 0.000) and Re at (0.000, 0.000, 0.500).

The calculation puts the total energy at -3.555 eV per atom. The value obtained for the relative energy among the computed polymorphs is 409.5 meV/atom. The value obtained for the calculated formation energy is 1.058 eV per atom.

=====

No. 3
Compound: TlZn4Re
Source: the Alexandria database
Functional: GGA-PBE
Structure: optimized geometry

The structure belongs to space group F-43m (No. 216); the cell edges are 7.247, 7.247 and 7.247 Å and the angles 90.00°, 90.00° and 90.00°. The distinct sites, in fractional coordinates, are Tl at (0.000, 0.000, 0.000), Zn at (0.123, 0.123, 0.623) and Re at (0.250, 0.250, 0.250).

The calculation puts the total energy at -2.838 eV per atom. The value obtained for the calculated formation energy is 0.480 eV per atom.

=====

No. 4
Compound: TlZn3Re
Source: the Alexandria database
Functional: GGA-PBE
Structure: optimized geometry

The structure belongs to space group Pm-3m (No. 221); the cell edges are 4.930, 4.930 and 4.930 Å and the angles 90.00°, 90.00° and 90.00°. The distinct sites, in fractional coordinates, are Tl at (0.000, 0.000, 0.000), Zn at (0.000, 0.500, 0.500) and Re at (0.500, 0.500, 0.500).

The calculation puts the total energy at -2.969 eV per atom. The value obtained for the relative energy among the computed polymorphs is 0.0 meV/atom. The value obtained for the calculated formation energy is 0.758 eV per atom.

=====

No. 5
Compound: Tl2ZnRe
Source: the Alexandria database
Functional: GGA-PBE
Structure: optimized geometry

The structure belongs to space group R-3m (No. 166, hexagonal axes); the cell edges are 3.1928, 3.1928 and 27.3106 Å and the angles 90.00°, 90.00° and 120.00°. The distinct sites, in fractional coordinates, are Tl at (0.0000, 0.0000, 0.2490), Zn at (0.0000, 0.0000, 0.0000) and Re at (0.0000, 0.0000, 0.5000).

The calculation puts the total energy at -3.800 eV per atom. The value obtained for the relative energy among the computed polymorphs is 165.3 meV/atom. The value obtained for the calculated formation energy is 0.814 eV per atom.

=====

No. 6
Compound: Tl2ZnRe
Source: the Alexandria database
Functional: GGA-PBE
Structure: optimized geometry

The structure belongs to space group R3m (No. 160, hexagonal axes); the cell edges are 3.0563, 3.0563 and 31.1409 Å and the angles 90.00°, 90.00° and 120.00°. The distinct sites, in fractional coordinates, are Tl at (0.0000, 0.0000, 0.0000), Tl at (0.0000, 0.0000, 0.2303), Zn at (0.0000, 0.0000, 0.7519) and Re at (0.0000, 0.0000, 0.4831).

The calculation puts the total energy at -3.949 eV per atom. The value obtained for the relative energy among the computed polymorphs is 16.1 meV/atom. The value obtained for the calculated formation energy is 0.665 eV per atom.